No. 1
Density functional theory data (PBE-GGA) for a relaxed structure of Er7Sn2Bi2.

Structure (POSCAR):
```
Er7Sn2Bi2
1.0
-0.865 6.064 -3.109
-7.429 -1.370 -0.606
-0.791 1.327 6.693
Er Sn Bi
7 2 2
Cartesian
-3.397 6.332 0.066
-2.570 2.636 -1.727
0.000 0.000 0.000
-5.687 -0.311 2.912
-6.225 2.701 1.349
-2.860 3.320 1.628
-6.515 3.385 4.704
-4.011 0.638 0.338
-5.073 5.383 2.639
-0.812 2.678 3.898
-8.272 3.343 -0.921
```

Output
Calculated formation energy = -0.209 eV/atom
Spin magnetization = 0.0 μB per formula unit
Final energy = -50.0 eV per formula unit
Space-group type = Cmmm (65)


No. 2
Density functional theory data (PBE-GGA) for a relaxed structure of Tc3PbCl.

Structure (POSCAR):
```
Tc3PbCl
1.0
5.268 0.000 0.000
0.000 5.268 0.000
0.000 0.000 5.268
Pb Cl Tc
1 1 3
Cartesian
0.000 0.000 0.000
2.634 2.634 2.634
2.634 0.000 0.000
0.000 2.634 0.000
0.000 0.000 2.634
```

Output
Spin magnetization = 9.6 μB per formula unit
Final energy = -24.8 eV per formula unit
Energy relative to the elements, uncorrected = 2.37 eV/atom
Space-group type = Pm-3m (221)


No. 3
Density functional theory data (PBE-GGA) for a relaxed structure of KHfAsBr2.

Structure (POSCAR):
```
KHfAsBr2
1.0
5.418 0.000 0.000
0.000 5.418 0.000
0.000 0.000 5.747
Hf As Br K
1 1 2 1
Cartesian
2.709 2.709 2.874
0.000 0.000 2.874
0.000 2.709 0.000
2.709 0.000 0.000
0.000 0.000 0.000
```

Output
Spin magnetization = 0.0 μB per formula unit
Final energy = -15.0 eV per formula unit
Energy relative to the elements, uncorrected = 0.80 eV/atom
Space-group type = P4/mmm (123)


No. 4
Density functional theory data (PBE-GGA) for a relaxed structure of SrCu2Pt.

Structure (POSCAR):
```
SrCu2Pt
1.0
-3.474 -1.825 2.198
1.438 -2.789 -0.043
2.933 0.182 4.787
Cu Sr Pt
2 1 1
Cartesian
0.297 -0.153 0.343
1.888 -1.150 2.030
1.541 -2.868 4.657
-0.644 -1.564 2.285
```

Output
Calculated formation energy = -0.029 eV/atom
Spin magnetization = 0.0 μB per formula unit
Final energy = -16.0 eV per formula unit
Space-group type = P2/m (10)


No. 5
Density functional theory data (PBE-GGA) for a relaxed structure of Ta2Hg3.

Structure (POSCAR):
```
Ta2Hg3
1.0
-1.935 -12.273 2.342
0.520 -12.620 0.569
0.857 -12.103 3.555
Hg Ta
3 2
Cartesian
-0.445 -29.503 5.156
-0.113 -7.493 1.309
0.000 0.000 0.000
-0.336 -22.255 3.889
-0.222 -14.741 2.576
```

Output
Calculated formation energy = 0.423 eV/atom
Spin magnetization = 0.0 μB per formula unit
Final energy = -22.5 eV per formula unit
Space-group type = R-3m (166)


No. 6
Density functional theory data (PBE-GGA) for a relaxed structure of TiNbPt14.

Structure (POSCAR):
```
TiNbPt14
1.0
5.634 -0.012 0.000
0.012 5.634 0.000
0.000 0.000 7.904
Pt Ti Nb
14 1 1
Cartesian
3.516 0.704 2.033
4.934 2.102 0.000
2.123 4.926 0.000
2.123 4.926 3.952
4.940 4.919 0.000
0.719 3.513 2.033
0.713 0.710 5.871
3.516 0.704 5.871
4.934 2.102 3.952
3.522 3.507 5.871
0.713 0.710 2.033
0.719 3.513 5.871
2.117 2.108 0.000
3.522 3.507 2.033
2.117 2.108 3.952
4.940 4.919 3.952
```

Output
Calculated formation energy = -0.428 eV/atom
Spin magnetization = 0.0 μB per formula unit
Final energy = -109.4 eV per formula unit
Space-group type = P4/mmm (123)


No. 7
Density functional theory data (PBE-GGA) for a relaxed structure of CaPr3Hg4.

Structure (POSCAR):
```
CaPr3Hg4
1.0
-1.876 -3.614 3.567
7.223 -1.219 2.564
-1.268 7.882 7.319
Hg Ca Pr
8 2 6
Cartesian
4.450 -2.716 3.696
3.195 -2.551 7.307
0.263 1.824 6.095
3.816 1.224 7.356
0.898 -2.117 2.435
0.884 5.599 6.144
4.435 4.999 7.404
-0.356 -1.951 6.046
2.978 3.331 4.942
3.612 -0.610 1.282
1.722 3.493 8.557
-0.634 3.941 3.660
0.000 0.000 0.000
-1.890 4.102 7.275
2.357 -0.445 4.894
-1.254 0.165 3.611
```

Output
Calculated formation energy = -0.504 eV/atom
Spin magnetization = 0.5 μB per formula unit
Final energy = -21.6 eV per formula unit
Space-group type = P4/mmm (123)


No. 8
Density functional theory data (PBE-GGA) for a relaxed structure of PmNd4Sm2Dy.

Structure (POSCAR):
```
PmNd4Sm2Dy
1.0
3.656 0.000 0.000
0.000 6.311 0.040
0.000 2.080 11.906
Nd Sm Pm Dy
4 2 1 1
Cartesian
1.828 5.252 3.028
1.828 3.139 8.918
3.656 2.099 3.000
0.000 6.291 8.946
1.828 1.040 5.953
0.000 2.080 11.906
1.828 5.235 11.926
0.000 4.195 5.973
```

Output
Calculated formation energy = 0.015 eV/atom
Spin magnetization = 0.0 μB per formula unit
Final energy = -37.7 eV per formula unit
Space-group type = P2/m (10)